No. 1
20
Lattice="6.302 0.000 0.000 0.000 6.303 0.000 0.000 0.000 8.928" Properties=species:S:1:pos:R:3 comment="Cs2LiHoF6 (PBE, relaxed)" formation_energy_uncorrected_kj_per_mol_atoms=-323 sg="I4/mmm, No. 139" magmom_total_mub_per_atom=0.000 crystal_system=tetragonal pbc="T T T"
F 4.751 3.178 0.000
F 4.751 6.280 0.000
F 1.600 3.125 4.464
F 0.000 4.728 6.734
F 0.000 4.728 2.194
F 1.551 6.280 0.000
F 1.551 3.178 0.000
F 3.151 1.576 2.270
F 4.702 0.023 4.464
F 3.151 1.576 6.657
F 1.600 0.023 4.464
F 4.702 3.125 4.464
Cs 0.000 1.576 2.232
Cs 3.151 4.727 2.232
Cs 0.000 1.576 6.696
Cs 3.151 4.727 6.696
Ho 3.151 1.574 4.464
Ho 0.000 4.729 0.000
Li 0.000 4.727 4.464
Li 3.151 1.576 0.000


No. 2
5
Lattice="5.979 0.000 0.000 0.000 5.979 0.000 0.000 0.000 4.507" Properties=species:S:1:pos:R:3 comment="Sr2SiTePt (PBE, relaxed)" formation_energy_uncorrected_kj_per_mol_atoms=-89 sg="P4/mmm, No. 123" magmom_total_mub_per_atom=0.000 crystal_system=tetragonal pbc="T T T"
Te 2.990 2.990 2.253
Sr 0.000 2.990 0.000
Sr 2.990 0.000 0.000
Si 0.000 0.000 2.253
Pt 0.000 0.000 0.000


No. 3
20
Lattice="-4.545 1.401 -3.894 -2.782 -5.443 1.288 -4.365 3.786 6.572" Properties=species:S:1:pos:R:3 comment="K2SrZnF6 (PBE, relaxed)" formation_energy_uncorrected_kj_per_mol_atoms=-288 sg="P2_1/c, No. 14" magmom_total_mub_per_atom=0.000 crystal_system=monoclinic pbc="T T T"
K -4.606 -0.875 0.332
K -3.806 -4.275 2.840
K -7.885 4.019 1.126
K -7.085 0.619 3.634
F -3.593 1.017 2.389
F -3.866 1.692 -0.444
F -6.263 1.544 1.231
F -7.825 -1.949 4.411
F -5.429 -1.801 2.735
F -6.663 -0.690 -1.403
F -8.098 -1.273 1.578
F -1.688 -0.814 -0.163
F -8.364 2.991 3.874
F -5.028 0.434 5.369
F -3.327 -3.247 0.092
F -10.004 0.557 4.130
Zn -4.455 2.593 1.339
Zn -1.391 -2.722 0.644
Sr -2.272 0.700 -1.947
Sr -3.573 -0.829 3.930


No. 4
11
Lattice="6.258 0.000 0.000 -0.001 8.544 -4.933 0.000 -0.004 9.865" Properties=species:S:1:pos:R:3 comment="Sr8Pt2Br (PBE, relaxed)" formation_energy_uncorrected_kj_per_mol_atoms=-43 sg="P-3, No. 147" magmom_total_mub_per_atom=0.020 crystal_system=trigonal pbc="T T T"
Sr 4.652 7.136 2.466
Sr 1.606 1.405 2.465
Sr 4.728 2.846 4.933
Sr 1.530 5.695 -0.001
Sr 4.652 2.838 0.016
Sr 1.606 1.429 7.415
Sr 1.606 5.703 4.916
Sr 4.652 7.112 -2.483
Br 0.000 -0.004 9.865
Pt 1.605 2.845 4.933
Pt 4.653 5.695 -0.001


No. 5
4
Lattice="-0.074 4.974 -3.180 -4.817 1.460 -3.085 -3.339 4.554 1.721" Properties=species:S:1:pos:R:3 comment="AcCePrDy (PBE, relaxed)" sg="F-43m, No. 216" magmom_total_mub_per_atom=0.323 crystal_system=cubic e_form_mev_per_atom=219.6 pbc="T T T"
Ac 0.000 0.000 0.000
Dy -6.172 8.241 -3.408
Pr -2.057 2.747 -1.136
Ce -4.115 5.494 -2.272


No. 6
5
Lattice="5.720 0.000 0.000 0.000 4.167 0.000 0.000 0.000 5.720" Properties=species:S:1:pos:R:3 comment="ZrSb2TeF (PBE, relaxed)" formation_energy_uncorrected_kj_per_mol_atoms=0 e_above_lowest_polymorph_mev_per_atom=244 sg="P4/mmm, No. 123" magmom_total_mub_per_atom=0.150 crystal_system=tetragonal pbc="T T T"
Sb 0.000 0.000 2.860
Sb 2.860 0.000 0.000
Zr 2.860 2.083 2.860
Te 0.000 0.000 0.000
F 0.000 2.083 0.000